Entry from Alexandria via LeMat-Bulk: a geometry-optimized Nb2GaCuHg structure (PBE).

Properties
* formation enthalpy at 0 K: 0.7638 eV per atom
* space-group type: P4/mmm, No. 123
* volume: 99 Å³/f.u.
* E_tot: -4.749 eV per atom

POSCAR file:
```
Nb2GaCuHg
1.0
-0.836 -4.250 -2.008
0.193 -1.889 3.919
-4.695 0.663 0.551
Hg Ga Cu Nb
1 1 1 2
direct
0.500 0.500 0.500
0.000 0.500 0.000
0.000 0.000 0.000
0.000 0.000 0.500
0.500 0.000 0.000
```

=====

Entry from Alexandria via LeMat-Bulk: a geometry-optimized In2Ag3Pd8 structure (PBE).

Properties
* formation enthalpy at 0 K: -0.1310 eV per atom
* space-group type: C2/m, No. 12
* volume: 227 Å³/f.u.
* E_tot: -4.406 eV per atom

POSCAR file:
```
In2Ag3Pd8
1.0
4.619 0.000 1.399
0.000 9.179 0.000
0.302 -4.589 5.435
Pd In Ag
8 2 3
direct
0.681 0.075 0.657
0.319 0.925 0.343
0.681 0.583 0.657
0.210 0.565 0.129
0.933 0.165 0.330
0.067 0.835 0.670
0.790 0.435 0.871
0.319 0.417 0.343
0.362 0.300 0.600
0.638 0.700 0.400
0.000 0.236 0.000
0.500 0.000 0.000
0.000 0.764 0.000
```

=====

Entry from Alexandria via LeMat-Bulk: a geometry-optimized PrPd2 structure (PBE).

Properties
* formation enthalpy at 0 K: -0.6200 eV per atom
* space-group type: C2/m, No. 12
* volume: 63 Å³/f.u.
* E_tot: -5.675 eV per atom

POSCAR file:
```
PrPd2
1.0
-2.156 -1.738 2.454
2.000 -3.083 -0.430
2.883 3.768 2.398
Pr Pd
1 2
direct
0.500 0.500 0.000
0.172 0.172 0.342
0.828 0.828 0.658
```

=====

Entry from Alexandria via LeMat-Bulk: a geometry-optimized Cu5Pt6 structure (PBE).

Properties
* formation enthalpy at 0 K: -0.0210 eV per atom
* space-group type: Cmmm, No. 65
* volume: 162 Å³/f.u.
* relative energy among the computed polymorphs: 1.11 eV per formula unit
* E_tot: -5.178 eV per atom

POSCAR file:
```
Cu5Pt6
1.0
3.658 0.000 1.276
0.000 7.138 0.000
-0.101 0.000 6.170
Pt Cu
6 5
direct
0.164 0.247 0.672
0.500 0.234 0.000
0.836 0.753 0.328
0.836 0.247 0.328
0.500 0.766 0.000
0.164 0.753 0.672
0.665 0.500 0.670
0.330 0.000 0.339
0.670 0.000 0.661
0.335 0.500 0.330
0.000 0.500 0.000
```

=====

Entry from Alexandria via LeMat-Bulk: a geometry-optimized TbMgCuGe structure (PBE).

Properties
* formation enthalpy at 0 K: -0.3774 eV per atom
* space-group type: F-43m, No. 216
* volume: 78 Å³/f.u.
* E_tot: -4.112 eV per atom

POSCAR file:
```
TbMgCuGe
1.0
4.805 0.000 0.000
2.402 4.161 0.000
2.402 1.387 3.923
Tb Cu Mg Ge
1 1 1 1
direct
0.500 0.500 0.500
0.250 0.250 0.250
0.000 0.000 0.000
0.750 0.750 0.750
```

=====

Entry from Alexandria via LeMat-Bulk: a geometry-optimized TlZnFe2 structure (PBE).

Properties
* formation enthalpy at 0 K: 0.4817 eV per atom
* space-group type: Fm-3m, No. 225
* volume: 61 Å³/f.u.
* relative energy among the computed polymorphs: 0.75 eV per formula unit
* E_tot: -4.660 eV per atom

POSCAR file:
```
TlZnFe2
1.0
0.000 3.120 3.120
3.120 0.000 3.120
3.120 3.120 0.000
Fe Zn Tl
2 1 1
direct
0.750 0.750 0.750
0.250 0.250 0.250
0.000 0.000 0.000
0.500 0.500 0.500
```